Entry from Alexandria: crystalline ReHIrW2 at its relaxed geometry (GGA-PBE).

Calculated values
The calculation puts the total energy at -50.4 eV for the cell shown.

Unit cell a=4.035 b=4.035 c=3.907 alpha=90.00 beta=90.00 gamma=90.00
Sites, in units of the cell vectors:
Re1 0.500 0.500 0.500
H1 0.000 0.000 0.000
W1 0.000 0.500 0.000
W2 0.500 0.000 0.000
Ir1 0.000 0.000 0.500